[1]
Compound: Hf2FeRe
Source: the Alexandria database
Functional: PBE-GGA
Structure: relaxed

abc: 3.212 3.212 6.447
angles: 90.00 90.00 90.00
Positions (direct):
Hf1 0.000 0.000 0.243
Hf2 0.000 0.000 0.757
Fe1 0.500 0.500 0.000
Re1 0.500 0.500 0.500

Calculated values
M_tot ... 0.00 μB per atom
Density of states at the Fermi level ... 3.65 states/eV/f.u.
Calculated formation energy ... -316 meV/atom



[2]
Compound: Hf2FeRe
Source: the Alexandria database
Functional: PBE-GGA
Structure: relaxed

abc: 4.566 3.216 9.055
angles: 90.00 90.00 90.00
Positions (direct):
Hf1 0.250 0.000 0.119
Hf2 0.250 0.000 0.631
Hf3 0.750 0.000 0.369
Hf4 0.750 0.000 0.881
Fe1 0.250 0.500 0.879
Fe2 0.750 0.500 0.121
Re1 0.250 0.500 0.371
Re2 0.750 0.500 0.629

Calculated values
M_tot ... 0.00 μB per atom
Density of states at the Fermi level ... 3.41 states/eV/f.u.
Calculated formation energy ... -307 meV/atom



[3]
Compound: Hf6FeRe2
Source: the Alexandria database
Functional: PBE-GGA
Structure: relaxed

abc: 5.542 7.143 10.265
angles: 90.00 118.67 90.00
Positions (direct):
Hf1 0.090 0.167 0.448
Hf2 0.090 0.333 0.948
Hf3 0.315 0.687 0.440
Hf4 0.315 0.813 0.940
Hf5 0.389 0.039 0.257
Hf6 0.389 0.461 0.757
Hf7 0.611 0.539 0.243
Hf8 0.611 0.961 0.743
Hf9 0.685 0.187 0.060
Hf10 0.685 0.313 0.560
Hf11 0.910 0.667 0.052
Hf12 0.910 0.833 0.552
Fe1 0.000 0.000 0.000
Fe2 0.000 0.500 0.500
Re1 0.149 0.113 0.752
Re2 0.149 0.387 0.252
Re3 0.851 0.613 0.748
Re4 0.851 0.887 0.248

Calculated values
M_tot ... 0.00 μB per atom
Density of states at the Fermi level ... 8.05 states/eV/f.u.
Calculated formation energy ... -34 meV/atom



[4]
Compound: Hf3FeRe
Source: the Alexandria database
Functional: PBE-GGA
Structure: relaxed

abc: 4.647 4.647 4.647
angles: 90.00 90.00 90.00
Positions (direct):
Hf1 0.000 0.000 0.500
Hf2 0.000 0.500 0.000
Hf3 0.500 0.000 0.000
Fe1 0.000 0.000 0.000
Re1 0.500 0.500 0.500

Calculated values
Excess energy over the best structure of this formula in the dataset ... 0.0 kJ/mol of atoms
M_tot ... 0.00 μB per atom
Density of states at the Fermi level ... 4.35 states/eV/f.u.
Calculated formation energy ... 609 meV/atom



[5]
Compound: HfFeRe5
Source: the Alexandria database
Functional: PBE-GGA
Structure: relaxed

abc: 8.260 5.203 10.594
angles: 90.00 90.00 90.00
Positions (direct):
Hf1 0.234 0.250 0.063
Hf2 0.266 0.750 0.563
Hf3 0.734 0.250 0.437
Hf4 0.766 0.750 0.937
Fe1 0.140 0.750 0.845
Fe2 0.360 0.250 0.345
Fe3 0.640 0.750 0.655
Fe4 0.860 0.250 0.155
Re1 0.068 0.012 0.306
Re2 0.068 0.488 0.306
Re3 0.081 0.750 0.073
Re4 0.102 0.250 0.522
Re5 0.181 0.250 0.768
Re6 0.319 0.750 0.268
Re7 0.398 0.750 0.022
Re8 0.419 0.250 0.573
Re9 0.432 0.512 0.806
Re10 0.432 0.988 0.806
Re11 0.568 0.012 0.194
Re12 0.568 0.488 0.194
Re13 0.581 0.750 0.427
Re14 0.602 0.250 0.978
Re15 0.681 0.250 0.732
Re16 0.819 0.750 0.232
Re17 0.898 0.750 0.478
Re18 0.919 0.250 0.927
Re19 0.932 0.512 0.694
Re20 0.932 0.988 0.694

Calculated values
M_tot ... 0.18 μB per atom
Density of states at the Fermi level ... 6.31 states/eV/f.u.
Calculated formation energy ... 133 meV/atom



[6]
Compound: HfFeRe
Source: the Alexandria database
Functional: PBE-GGA
Structure: relaxed

abc: 5.152 5.152 5.152
angles: 121.59 120.32 88.35
Positions (direct):
Hf1 0.375 0.125 0.250
Hf2 0.625 0.875 0.750
Fe1 0.000 0.000 0.500
Fe2 0.000 0.500 0.000
Re1 0.000 0.500 0.500
Re2 0.500 0.500 0.000

Calculated values
Excess energy over the best structure of this formula in the dataset ... 0.0 kJ/mol of atoms
M_tot ... 0.65 μB per atom
Density of states at the Fermi level ... 2.67 states/eV/f.u.
Calculated formation energy ... -328 meV/atom



[7]
Compound: Hf2FeReRh
Source: the Alexandria database
Functional: PBE-GGA
Structure: relaxed

abc: 4.992 4.992 4.654
angles: 90.00 90.00 90.00
Positions (direct):
Hf1 0.000 0.500 0.000
Hf2 0.500 0.000 0.000
Fe1 0.000 0.000 0.500
Re1 0.500 0.500 0.000
Rh1 0.500 0.500 0.500

Calculated values
M_tot ... 0.58 μB per atom
Density of states at the Fermi level ... 6.19 states/eV/f.u.
Calculated formation energy ... 1080 meV/atom



[8]
Compound: Hf2FeReS
Source: the Alexandria database
Functional: PBE-GGA
Structure: relaxed

abc: 4.776 4.776 3.906
angles: 90.00 90.00 90.00
Positions (direct):
Hf1 0.000 0.500 0.000
Hf2 0.500 0.000 0.000
Fe1 0.000 0.000 0.500
Re1 0.500 0.500 0.500
S1 0.000 0.000 0.000

Calculated values
Energy relative to the elements, uncorrected ... 0.3 eV/f.u.
M_tot ... 0.29 μB per atom
Density of states at the Fermi level ... 3.62 states/eV/f.u.



[9]
Compound: HfFeReS2
Source: the Alexandria database
Functional: PBE-GGA
Structure: relaxed

abc: 4.362 4.362 4.449
angles: 90.00 90.00 90.00
Positions (direct):
Hf1 0.000 0.000 0.000
Fe1 0.500 0.500 0.500
Re1 0.500 0.500 0.000
S1 0.000 0.500 0.500
S2 0.500 0.000 0.500

Calculated values
Energy relative to the elements, uncorrected ... 2.9 eV/f.u.
M_tot ... 0.08 μB per atom
Density of states at the Fermi level ... 4.79 states/eV/f.u.



[10]
Compound: Hf2FeReSe
Source: the Alexandria database
Functional: PBE-GGA
Structure: relaxed

abc: 4.910 4.910 4.115
angles: 90.00 90.00 90.00
Positions (direct):
Hf1 0.000 0.500 0.000
Hf2 0.500 0.000 0.000
Fe1 0.000 0.000 0.500
Re1 0.500 0.500 0.500
Se1 0.000 0.000 0.000

Calculated values
Energy relative to the elements, uncorrected ... 3.2 eV/f.u.
M_tot ... 0.41 μB per atom
Density of states at the Fermi level ... 6.34 states/eV/f.u.



[11]
Compound: HfFeReSe2
Source: the Alexandria database
Functional: PBE-GGA
Structure: relaxed

abc: 4.501 4.501 4.635
angles: 90.00 90.00 90.00
Positions (direct):
Hf1 0.000 0.000 0.000
Fe1 0.000 0.000 0.500
Re1 0.500 0.500 0.000
Se1 0.000 0.500 0.500
Se2 0.500 0.000 0.500

Calculated values
Energy relative to the elements, uncorrected ... 4.7 eV/f.u.
M_tot ... 0.26 μB per atom
Density of states at the Fermi level ... 5.31 states/eV/f.u.



[12]
Compound: HfFeReTc
Source: the Alexandria database
Functional: PBE-GGA
Structure: relaxed

abc: 4.422 4.422 4.422
angles: 60.00 60.00 60.00
Positions (direct):
Hf1 0.000 0.000 0.000
Fe1 0.750 0.750 0.750
Re1 0.500 0.500 0.500
Tc1 0.250 0.250 0.250

Calculated values
M_tot ... 0.52 μB per atom
Density of states at the Fermi level ... 2.61 states/eV/f.u.
Calculated formation energy ... -113 meV/atom